Crystalline RbNa2Ca at its relaxed geometry. Source: Alexandria via LeMat-Bulk, functional GGA-PBE.

Cell lengths 6.702, 6.702, 4.182 Å; angles 90.00, 90.00, 90.00 degrees
Fractional coordinates of all 4 atoms:
Rb1 0.000 0.000 0.000
Na1 0.000 0.500 0.500
Na2 0.500 0.000 0.500
Ca1 0.500 0.500 0.000

Summary:
The calculation puts the magnetic moment at 0.00 μB/cell. The calculated volume is 188 Å³ per cell. As for the total energy: -5.18 eV for the cell shown. The crystal system is tetragonal. The formation energy is 107 meV/atom. The calculation puts the energy above the most stable polymorph in this dataset at 0.0227 eV per atom. As for the density: 1.52 g/cm3. As for the space group: No. 123.